Computed, not measured: a geometry-optimized Sm2MnF8 structure at the PBE with a Hubbard U level of DFT.

Lattice parameters (Å, degrees): 7.6460 7.6460 5.4461 109.65 109.65 28.28
With the nearest neighbours (Å) after each atom.
Fractional coordinates of all 11 atoms:
Sm 0.1725 0.1725 0.1808  9 F 2.30-2.45
Sm 0.8275 0.8275 0.8192  9 F 2.30-2.45
Mn 0.5000 0.5000 0.5000  6 F 2.22-2.27
F 0.0399 0.0399 0.3224  2 Mn 2.27, 1 Sm 2.35
F 0.2213 0.2213 0.8239  3 Sm 2.30-2.45, 1 F 2.52
F 0.3235 0.3235 0.5388  3 Sm 2.40-2.41, 5 F 2.52-2.66
F 0.4076 0.4076 0.0811  1 Mn 2.22, 2 Sm 2.40
F 0.5924 0.5924 0.9189  1 Mn 2.22, 2 Sm 2.40
F 0.6765 0.6765 0.4612  3 Sm 2.40-2.41, 5 F 2.52-2.66
F 0.7787 0.7787 0.1761  3 Sm 2.30-2.45, 1 F 2.52
F 0.9601 0.9601 0.6776  2 Mn 2.27, 1 Sm 2.35

Properties
- Volume: 141.5 Å³/cell
- Total magnetization: 0.455 μB per atom
- E_tot: -6.578 eV/atom